Density functional theory data (PBE) for crystalline RbTcAgTe3 at its relaxed geometry.

a = 8.949 Å, b = 4.049 Å, c = 10.793 Å
α = 90.00°, β = 114.06°, γ = 90.00°
Atoms (fractional coordinates):
Rb (0.250, 0.250, 0.222)
Rb (0.750, 0.750, 0.778)
Tc (0.196, 0.750, 0.667)
Tc (0.804, 0.250, 0.333)
Ag (0.437, 0.250, 0.889)
Ag (0.563, 0.750, 0.111)
Te (0.030, 0.750, 0.384)
Te (0.225, 0.750, 0.924)
Te (0.369, 0.250, 0.617)
Te (0.631, 0.750, 0.383)
Te (0.775, 0.250, 0.076)
Te (0.970, 0.250, 0.616)

Calculated values
Polymorph energy (0 for the lowest one)   0 meV per atom
Space-group type   P2_1/m
V   357.1 Å³/cell
Total magnetization   2.0 μB/cell